# 1
Crystalline CeLuZnFe at its relaxed geometry. Source: the Alexandria database, functional PBE-GGA.

abc: 4.8699 4.8699 4.8699
angles: 60.00 60.00 60.00
Last column: nearest neighbours and their distance in Å.
Fractional coordinates of all 4 atoms:
Ce (0.0000, 0.0000, 0.0000)  4 Fe 2.98, 4 Zn 2.98
Lu (0.5000, 0.5000, 0.5000)  4 Zn 2.98, 4 Fe 2.98
Zn (0.2500, 0.2500, 0.2500)  4 Lu 2.98, 4 Ce 2.98
Fe (0.7500, 0.7500, 0.7500)  4 Lu 2.98, 4 Ce 2.98

Properties
- Calculated formation energy: -0.072 eV/atom
- Volume: 20.42 Å³/atom

=====

# 2
Crystalline CeMgFe at its relaxed geometry. Source: the Alexandria database, functional PBE-GGA.

abc: 3.5372 3.7487 9.3675
angles: 82.05 89.86 89.80
Last column: nearest neighbours and their distance in Å.
Fractional coordinates of all 6 atoms:
Ce (0.2477, 0.1417, 0.3373)  2 Fe 2.31-2.34
Ce (0.7523, 0.8583, 0.6627)  2 Fe 2.31-2.34
Mg (0.2512, 0.2792, 0.9083)  1 Fe 2.77, 3 Mg 3.07-3.10
Mg (0.7488, 0.7208, 0.0917)  1 Fe 2.77, 3 Mg 3.07-3.10
Fe (0.2470, 0.4913, 0.6133)  2 Ce 2.31-2.34
Fe (0.7530, 0.5087, 0.3867)  2 Ce 2.31-2.34

Properties
- Calculated formation energy: -0.061 eV/atom
- Volume: 20.50 Å³/atom

=====

# 3
Crystalline Ce2MgFe at its relaxed geometry. Source: the Alexandria database, functional PBE-GGA.

abc: 3.1798 3.1798 9.0070
angles: 90.00 90.00 90.00
Last column: nearest neighbours and their distance in Å.
Fractional coordinates of all 4 atoms:
Ce (0.0000, 0.0000, 0.1946)  4 Fe 2.85, 4 Ce 3.18
Ce (0.0000, 0.0000, 0.8054)  4 Fe 2.85, 4 Ce 3.18
Mg (0.5000, 0.5000, 0.5000)  4 Mg 3.18, 8 Ce 3.55
Fe (0.5000, 0.5000, 0.0000)  8 Ce 2.85, 4 Fe 3.18

Properties
- Calculated formation energy: 0.025 eV/atom
- Relative energy among the computed polymorphs: 2.63 kJ/mol of atoms
- Volume: 22.77 Å³/atom

=====

# 4
Crystalline Ce2MgFe at its relaxed geometry. Source: the Alexandria database, functional PBE-GGA.

abc: 5.6913 3.6723 9.2945
angles: 90.00 98.41 90.00
Last column: nearest neighbours and their distance in Å.
Fractional coordinates of all 8 atoms:
Ce (0.1824, 0.0000, 0.1396)  3 Fe 2.61-2.89
Ce (0.2995, 0.0347, 0.7745)  1 Fe 2.33
Ce (0.7005, 0.5347, 0.2255)  1 Fe 2.33
Ce (0.8176, 0.5000, 0.8604)  3 Fe 2.61-2.89
Mg (0.2472, 0.5211, 0.4608)  6 Ce 3.39-3.62, 6 Mg 3.40-3.67
Mg (0.7528, 0.0211, 0.5392)  6 Ce 3.39-3.62, 6 Mg 3.40-3.67
Fe (0.3230, 0.4676, 0.9588)  1 Ce 2.33
Fe (0.6770, 0.9676, 0.0412)  1 Ce 2.33

Properties
- Calculated formation energy: -0.002 eV/atom
- Relative energy among the computed polymorphs: 0.00 kJ/mol of atoms
- Volume: 24.02 Å³/atom

=====

# 5
Crystalline Ce2MgFe at its relaxed geometry. Source: the Alexandria database, functional PBE-GGA.

abc: 10.1922 10.1922 10.1922
angles: 20.46 20.46 20.46
Last column: nearest neighbours and their distance in Å.
Fractional coordinates of all 4 atoms:
Ce (0.1150, 0.1150, 0.1150)  3 Fe 2.60
Ce (0.8850, 0.8850, 0.8850)  3 Fe 2.60
Mg (0.0000, 0.0000, 0.0000)  2 Ce 3.44, 6 Mg 3.62
Fe (0.5000, 0.5000, 0.5000)  6 Ce 2.60

Properties
- Calculated formation energy: 0.275 eV/atom
- Relative energy among the computed polymorphs: 26.74 kJ/mol of atoms
- Volume: 28.32 Å³/atom

=====

# 6
Crystalline CeMgFe at its relaxed geometry. Source: the Alexandria database, functional PBE-GGA.

abc: 6.4497 6.4497 4.6196
angles: 104.56 104.56 42.73
Last column: nearest neighbours and their distance in Å.
Fractional coordinates of all 6 atoms:
Ce (0.1411, 0.1411, 0.3606)  1 Fe 2.09
Ce (0.8589, 0.8589, 0.6394)  1 Fe 2.09
Mg (0.4131, 0.4131, 0.1882)  3 Fe 2.62-2.72
Mg (0.5869, 0.5869, 0.8118)  3 Fe 2.62-2.72
Fe (0.2031, 0.2031, 0.8289)  1 Ce 2.09
Fe (0.7969, 0.7969, 0.1711)  1 Ce 2.09

Properties
- Calculated formation energy: -0.097 eV/atom
- Volume: 20.93 Å³/atom